This record from the Alexandria database describes Tl2AgW at its PBEsol-relaxed geometry. The functional is meta-GGA SCAN.

Calculated values
**Energy**: -60.683 eV/atom
**Calculated formation energy**: 0.760 eV per atom
**Relative energy among the computed polymorphs**: 0.000 eV/atom

Geometry as extended XYZ:
```
4
Lattice="3.0460 0.0000 0.0000 1.5230 2.6379 0.0000 1.5230 0.8793 10.0473" Properties=species:S:1:pos:R:3 pbc="T T T"
Ag 1.5230 0.8793 2.6991
Tl 4.5689 2.6379 0.1630
Tl 4.5689 2.6379 7.3233
W 3.0460 1.7586 4.8857
```



This record from the Alexandria database describes Y2TlAg at its PBEsol-relaxed geometry. The functional is meta-GGA SCAN.

Calculated values
**Energy**: -40.383 eV/atom
**Calculated formation energy**: -0.530 eV per atom
**Relative energy among the computed polymorphs**: 0.028 eV/atom

Geometry as extended XYZ:
```
4
Lattice="-1.0908 -2.0887 -2.7252 3.0297 0.7599 -1.7951 3.3783 -5.9291 3.1919" Properties=species:S:1:pos:R:3 pbc="T T T"
Tl 2.6586 -3.6289 -0.6642
Y 2.5808 -4.5295 2.4385
Y 0.7975 -1.3996 0.7535
Ag 0.9694 -0.6644 -2.2602
```



What is the energy in the second record?
-40.383 eV/atom